This record from Alexandria via LeMat-Bulk describes Be2BH after structural relaxation. The functional is PBE.

Cell lengths 3.3207, 4.0711, 4.8693 Å; angles 86.86, 70.73, 72.94 degrees
Closest atoms and distances in Å follow each position.
Space group P1 (No. 1)
Unique sites:
1 Be 0.0000 0.0000 0.0000 (multiplicity 1)  4 B 1.89-1.94, 2 Be 2.06-2.09, 1 H 2.10
2 Be 0.1206 0.2130 0.5920 (multiplicity 1)  1 H 1.46
3 Be 0.3198 0.4976 0.1888 (multiplicity 1)  2 H 1.60
4 Be 0.8011 0.9288 0.4422 (multiplicity 1)  1 H 1.48
5 B 0.4075 0.9801 0.1995 (multiplicity 1)  1 B 1.83, 6 Be 1.89-2.04
6 B 0.5168 0.1658 0.8400 (multiplicity 1)  1 H 1.27
7 H 0.3776 0.4928 0.8490 (multiplicity 1)  1 B 1.27
8 H 0.9865 0.5715 0.5170 (multiplicity 1)  3 Be 1.46-1.60

Properties
energy relative to the lowest polymorph listed for this composition	38	meV per atom
energy	-34.2	eV/cell